## K2IrWO6 (PBE+U)

Data for an optimized crystal structure of K2IrWO6.

Cell: 5.614 5.614 5.613 Å, 60.00 60.00 90.01°
Positions (direct):
1 O 0.254 0.254 0.000
2 O 0.746 0.254 0.000
3 O 0.254 0.746 0.000
4 O 0.254 0.254 0.493
5 O 0.746 0.746 0.507
6 O 0.746 0.746 0.000
7 Ir 0.000 0.000 0.000
8 K 0.750 0.250 0.500
9 K 0.250 0.750 0.500
10 W 0.500 0.500 0.000

Electronic total energy in eV/atom: -6.367
Total magnetic moment in μB/atom: 0.00